A.
Below is an optimized crystal structure of Na2Tl3In4, with properties calculated at the GGA-PBE level.

Calculated values
SG = P-1
density of states at the Fermi level = 0.418 states/eV/atom
M_tot = 0.000 μB per formula unit

Cell: 5.8283 5.8616 9.0420 Å, 70.55 82.70 59.53°
Sites, in units of the cell vectors:
In: 0.3282 0.3331 0.9996
In: 0.0541 0.4469 0.3309
In: 0.9459 0.5531 0.6691
In: 0.6718 0.6669 0.0004
Tl: 0.3873 0.7788 0.3308
Tl: 0.6127 0.2212 0.6692
Tl: 0.0000 0.0000 0.0000
Na: 0.2814 0.8881 0.6693
Na: 0.7186 0.1119 0.3307

=====

B.
Below is an optimized crystal structure of Na2Tl3In4, with properties calculated at the GGA-PBE level.

Calculated values
SG = C2/m
density of states at the Fermi level = 0.325 states/eV/atom
M_tot = 0.000 μB per formula unit

Cell: 4.7449 6.1639 9.6115 Å, 76.58 75.71 67.36°
Sites, in units of the cell vectors:
Tl: 0.6682 0.2240 0.4396
Tl: 0.3318 0.7760 0.5604
Tl: 0.0000 0.0000 0.0000
Na: 0.6610 0.8988 0.7792
Na: 0.3390 0.1012 0.2208
In: 0.0055 0.6570 0.3321
In: 0.6696 0.5486 0.1122
In: 0.3304 0.4514 0.8878
In: 0.9945 0.3430 0.6679

=====

The energetic minimum among the shown structures is B; the next structure lies 17 meV/atom above.